#one
RbTaTl2 | Alexandria via LeMat-Bulk | PBE-GGA | optimized geometry; N(E_F) = 1.99 states/eV/cell; total magnetization = 0.52 μB per atom; V = 114.7 Å³/cell
1.0
0.595 -4.591 -2.882
-2.118 -4.673 1.848
-4.303 -2.223 -2.506
Tl Rb Ta
2 1 1
Cartesian
-1.457 -2.872 -0.885 Tl
-4.370 -8.615 -2.656 Tl
0.000 0.000 0.000 Rb
-2.913 -5.744 -1.771 Ta

=====

#two
RbTaTl2 | Alexandria via LeMat-Bulk | PBE-GGA | optimized geometry; N(E_F) = 3.10 states/eV/cell; total magnetization = 0.00 μB per atom; V = 361.6 Å³/cell
1.0
-1.117 -5.983 2.196
5.831 -0.059 2.804
-1.078 0.267 9.711
Ta Rb Tl
2 2 4
Cartesian
0.081 -4.368 7.203 Ta
0.000 0.000 0.000 Ta
2.357 -3.021 2.500 Rb
3.555 -1.406 7.508 Rb
-1.545 -5.037 9.320 Tl
-0.424 -4.674 4.516 Tl
2.304 -5.707 6.286 Tl
-0.009 -2.056 8.692 Tl

=====

Relative stability in meV/atom, measured from the most stable structure: #one 52; #two 0

=====

#one
RbTaV2 | Alexandria via LeMat-Bulk | PBE-GGA | optimized geometry; N(E_F) = 15.31 states/eV/cell; total magnetization = 0.66 μB per atom; V = 240.0 Å³/cell
1.0
5.308 0.000 0.000
0.000 5.308 0.000
2.654 2.654 8.518
Ta V Rb
2 4 2
Cartesian
0.000 0.000 0.000 Ta
5.308 2.654 4.259 Ta
3.981 2.651 6.388 V
5.311 1.327 2.129 V
5.305 3.981 2.129 V
6.635 2.657 6.388 V
2.654 2.654 0.000 Rb
2.654 5.308 4.259 Rb

=====

#two
RbTaV2 | Alexandria via LeMat-Bulk | PBE-GGA | optimized geometry; N(E_F) = 4.60 states/eV/cell; total magnetization = 0.77 μB per atom; V = 78.8 Å³/cell
1.0
-1.235 -4.643 0.260
-4.628 -1.237 0.444
-2.295 -2.089 -3.677
V Ta Rb
2 1 1
Cartesian
-2.040 -1.992 -0.743 V
-6.119 -5.977 -2.229 V
-4.079 -3.985 -1.486 Ta
0.000 0.000 0.000 Rb

=====

Relative stability in meV/atom, measured from the most stable structure: #one 233; #two 0

=====

#one
Rb2TaV | Alexandria via LeMat-Bulk | PBE-GGA | optimized geometry; N(E_F) = 11.00 states/eV/cell; total magnetization = 2.10 μB per atom; V = 158.7 Å³/cell
1.0
0.000 4.298 4.298
4.298 0.000 4.298
4.298 4.298 0.000
Rb V Ta
2 1 1
Cartesian
2.149 2.149 2.149 Rb
6.446 6.446 6.446 Rb
0.000 0.000 0.000 V
4.298 4.298 4.298 Ta

=====

#two
Rb2TaV | Alexandria via LeMat-Bulk | PBE-GGA | optimized geometry; N(E_F) = 13.50 states/eV/cell; total magnetization = 0.43 μB per atom; V = 422.4 Å³/cell
1.0
13.656 0.000 0.000
0.000 13.656 0.000
6.828 6.828 2.265
Ta Rb V
2 4 2
Cartesian
13.656 6.828 1.132 Ta
0.000 0.000 0.000 Ta
7.866 3.414 0.566 Rb
5.790 10.242 0.566 Rb
10.242 12.618 1.699 Rb
17.070 14.694 1.699 Rb
6.828 6.828 0.000 V
6.828 13.656 1.132 V

=====

Relative stability in meV/atom, measured from the most stable structure: #one 606; #two 0

=====

#one
RbTa2V | Alexandria via LeMat-Bulk | PBE-GGA | optimized geometry; N(E_F) = 8.34 states/eV/cell; total magnetization = 0.00 μB per atom; V = 79.5 Å³/cell
1.0
0.000 3.412 3.412
3.412 0.000 3.412
3.412 3.412 0.000
Rb V Ta
1 1 2
Cartesian
3.412 3.412 3.412 Rb
0.000 0.000 0.000 V
1.706 1.706 1.706 Ta
5.118 5.118 5.118 Ta

=====

#two
RbTa2V | Alexandria via LeMat-Bulk | PBE-GGA | optimized geometry; N(E_F) = 9.08 states/eV/cell; total magnetization = 0.00 μB per atom; V = 251.9 Å³/cell
1.0
-3.197 -4.115 1.944
4.016 -1.433 3.570
-2.725 2.287 8.315
Rb Ta V
2 4 2
Cartesian
0.000 0.000 0.000 Rb
-2.756 -2.301 6.508 Rb
-2.331 -2.781 10.169 Ta
-0.733 -0.723 9.196 Ta
0.630 -1.867 5.039 Ta
-1.379 -1.151 3.254 Ta
0.850 -0.960 7.321 V
0.409 -2.774 2.757 V

=====

Relative stability in meV/atom, measured from the most stable structure: #one 0; #two 180

=====

#one
RbTa3W | Alexandria via LeMat-Bulk | PBE-GGA | optimized geometry; N(E_F) = 4.08 states/eV/cell; total magnetization = 0.00 μB per atom; V = 129.2 Å³/cell
1.0
5.055 0.000 0.000
0.000 5.055 0.000
0.000 0.000 5.055
Ta W Rb
3 1 1
Cartesian
2.528 0.000 0.000 Ta
0.000 0.000 2.528 Ta
0.000 2.528 0.000 Ta
0.000 0.000 0.000 W
2.528 2.528 2.528 Rb

=====

#two
RbTa3W | Alexandria via LeMat-Bulk | PBE-GGA | optimized geometry; N(E_F) = 7.07 states/eV/cell; total magnetization = 0.16 μB per atom; V = 104.5 Å³/cell
1.0
4.710 0.000 0.000
0.000 4.710 0.000
0.000 0.000 4.710
Ta W Rb
3 1 1
Cartesian
2.355 0.000 0.000 Ta
0.000 0.000 2.355 Ta
0.000 2.355 0.000 Ta
2.355 2.355 2.355 W
0.000 0.000 0.000 Rb

=====

Relative stability in meV/atom, measured from the most stable structure: #one 0; #two 1708

=====

#one
RbYTa2 | Alexandria via LeMat-Bulk | PBE-GGA | optimized geometry; N(E_F) = 6.56 states/eV/cell; total magnetization = 0.86 μB per atom; V = 104.9 Å³/cell
1.0
-3.386 0.211 4.063
-3.697 3.784 0.171
-5.093 -1.241 -0.732
Ta Y Rb
2 1 1
Cartesian
-3.044 0.689 0.875 Ta
-9.132 2.066 2.626 Ta
-6.088 1.377 1.751 Y
0.000 0.000 0.000 Rb

=====

#two
RbYTa2 | Alexandria via LeMat-Bulk | PBE-GGA | optimized geometry; N(E_F) = 8.48 states/eV/cell; total magnetization = 0.00 μB per atom; V = 202.0 Å³/cell
1.0
4.222 0.000 0.000
0.000 4.222 0.000
2.111 2.111 11.332
Ta Y Rb
4 2 2
Cartesian
0.963 1.055 2.833 Ta
3.259 3.166 2.833 Ta
3.166 5.370 8.499 Ta
5.277 3.074 8.499 Ta
4.222 2.111 5.666 Y
0.000 0.000 0.000 Y
2.111 2.111 0.000 Rb
2.111 4.222 5.666 Rb

=====

Relative stability in meV/atom, measured from the most stable structure: #one 267; #two 0

=====

#one
RbTaZn2 | Alexandria via LeMat-Bulk | PBE-GGA | optimized geometry; N(E_F) = 7.85 states/eV/cell; total magnetization = 0.70 μB per atom; V = 267.5 Å³/cell
1.0
5.375 0.000 0.000
0.000 5.375 0.000
2.687 2.687 9.261
Ta Zn Rb
2 4 2
Cartesian
0.000 0.000 0.000 Ta
5.375 2.687 4.631 Ta
4.031 2.685 6.946 Zn
6.718 2.690 6.946 Zn
5.372 4.031 2.315 Zn
5.377 1.344 2.315 Zn
2.687 5.375 4.631 Rb
2.687 2.687 0.000 Rb

=====

#two
RbTaZn2 | Alexandria via LeMat-Bulk | PBE-GGA | optimized geometry; N(E_F) = 3.86 states/eV/cell; total magnetization = 0.21 μB per atom; V = 91.1 Å³/cell
1.0
4.942 0.070 1.036
1.649 2.067 4.302
1.853 -2.938 3.665
Zn Ta Rb
2 1 1
Cartesian
6.333 -0.601 6.753 Zn
2.111 -0.200 2.251 Zn
4.222 -0.400 4.502 Ta
0.000 0.000 0.000 Rb

=====

Relative stability in meV/atom, measured from the most stable structure: #one 0; #two 31

=====

#one
RbTaZn | Alexandria via LeMat-Bulk | PBE-GGA | optimized geometry; N(E_F) = 3.72 states/eV/cell; total magnetization = 0.00 μB per atom; V = 215.4 Å³/cell
1.0
-0.436 13.272 8.751
-2.262 0.413 3.914
3.584 -2.774 -0.268
Ta Rb Zn
2 2 2
Cartesian
-1.734 13.140 11.963 Ta
2.619 -2.229 0.434 Ta
-0.073 8.219 8.174 Rb
0.958 2.693 4.223 Rb
1.419 -0.232 2.162 Zn
-0.533 11.143 10.235 Zn

=====

#two
RbTaZn | Alexandria via LeMat-Bulk | PBE-GGA | optimized geometry; N(E_F) = 4.99 states/eV/cell; total magnetization = 0.00 μB per atom; V = 191.7 Å³/cell
1.0
4.547 -2.625 0.000
0.000 5.251 0.000
0.000 0.000 8.028
Ta Zn Rb
2 2 2
Cartesian
0.000 0.000 5.202 Ta
0.000 0.000 2.826 Ta
1.516 2.625 2.664 Zn
1.516 2.625 5.364 Zn
3.031 0.000 0.000 Rb
3.031 0.000 4.014 Rb

=====

#three
RbTaZn | Alexandria via LeMat-Bulk | PBE-GGA | optimized geometry; N(E_F) = 2.95 states/eV/cell; total magnetization = 0.00 μB per atom; V = 87.4 Å³/cell
1.0
3.885 -2.676 -1.600
0.536 -4.732 1.461
-0.699 -3.706 -3.254
Ta Zn Rb
1 1 1
Cartesian
2.791 -8.335 -2.545 Ta
0.000 0.000 0.000 Zn
0.930 -2.778 -0.848 Rb

=====

#four
RbTaZn | Alexandria via LeMat-Bulk | PBE-GGA | optimized geometry; N(E_F) = 4.95 states/eV/cell; total magnetization = 0.42 μB per atom; V = 204.2 Å³/cell
1.0
0.781 3.437 2.587
-4.069 -0.822 -1.374
-1.933 -7.042 9.938
Rb Ta Zn
2 2 2
Cartesian
-0.966 -3.521 4.969 Rb
0.000 0.000 0.000 Rb
-3.901 -4.684 7.400 Ta
-1.319 0.257 3.752 Ta
-2.285 -3.265 8.721 Zn
-2.935 -1.163 2.431 Zn

=====

Relative stability in meV/atom, measured from the most stable structure: #one 0; #two 783; #three 1480; #four 935